DFT (PBE with a Hubbard U) results for a geometry-optimized CoOsO3 structure.

The structure in CIF format:
```
data_CoOsO3
_chemical_formula_sum 'Co1 Os1 O3'
_space_group_name_H-M_alt 'P m -3 m'
_space_group_IT_number 221
_space_group_name_Hall '-P 4 2 3'
_cell_length_a 3.8590
_cell_length_b 3.8590
_cell_length_c 3.8590
_cell_angle_alpha 90.00
_cell_angle_beta 90.00
_cell_angle_gamma 90.00
loop_
_atom_site_label
_atom_site_type_symbol
_atom_site_fract_x
_atom_site_fract_y
_atom_site_fract_z
Co1 Co 0.0000 0.0000 0.0000
Os1 Os 0.5000 0.5000 0.5000
O1 O 0.0000 0.5000 0.5000
```

## Properties
For the electronic total energy, the calculation gives -6.515 eV per atom.